{
  "formula": "Ba4Li2Mg",
  "functional": "PBE",
  "state": "relaxed",
  "total_energy_ev_per_atom": -1.8072,
  "space_group": "R-3m",
  "m_tot_mub_per_fu": 0.0,
  "formation_enthalpy_0k_ev_per_atom": 0.0661,
  "lattice": [[-3.916, -4.078, -2.541], [0.428, -6.015, 1.434], [-7.447, -2.018, 7.154]],
  "species": ["Mg", "Li", "Ba", "Ba", "Ba", "Ba", "Li"],
  "frac_coords": [[0.000, 0.000, 0.000], [0.256, 0.256, 0.232], [0.622, 0.622, 0.135], [0.127, 0.127, 0.620], [0.873, 0.873, 0.380], [0.378, 0.378, 0.865], [0.744, 0.744, 0.768]]
}

---

{
  "formula": "Ba4LiMg",
  "functional": "PBE",
  "state": "relaxed",
  "e_above_lowest_polymorph_mev_per_atom": 403,
  "total_energy_ev_per_atom": -1.4627,
  "space_group": "F-43m",
  "m_tot_mub_per_fu": 0.1,
  "formation_enthalpy_0k_ev_per_atom": 0.4039,
  "lattice": [[0.000, 5.423, 5.423], [5.423, 0.000, 5.423], [5.423, 5.423, 0.000]],
  "species": ["Ba", "Mg", "Li", "Ba", "Ba", "Ba"],
  "frac_coords": [[0.375, 0.375, 0.876], [0.000, 0.000, 0.000], [0.750, 0.750, 0.750], [0.375, 0.876, 0.375], [0.375, 0.375, 0.375], [0.876, 0.375, 0.375]]
}